Below is MgTaSe2 after structural relaxation, with properties calculated at the PBEsol level.

Cell lengths 3.474, 3.474, 6.441 Å; angles 90.00, 90.00, 90.00 degrees
Element x y z (fractional)
1 Se 0.500 0.500 0.334
2 Se 0.000 0.000 0.902
3 Ta 0.000 0.000 0.488
4 Mg 0.500 0.500 0.776

Computed properties:
Formation energy (no corrections) in meV/atom: -484
Symmetry: P4mm, No. 99

=====

Below is KLa2Re after structural relaxation, with properties calculated at the PBEsol level.

Cell lengths 3.256, 3.256, 11.858 Å; angles 90.00, 90.00, 115.41 degrees
Element x y z (fractional)
1 La 0.500 0.500 0.700
2 La 0.000 0.000 0.975
3 Re 0.000 0.000 0.530
4 K 0.500 0.500 0.295

Computed properties:
Symmetry: Cmm2, No. 35
Energy of formation from the pure elements in eV per formula unit: 3.3